No. 1
This record from Alexandria describes a geometry-optimized CeTmZnCd structure. The functional is GGA-PBE.

Values from the calculation:
N(E_F), states/eV/cell: 9.35
Crystal system: cubic
Calculated formation energy, eV/f.u.: -0.824
Calculated total energy, eV per atom: -3.355
Magnetic moment, μB/f.u.: 1.37

abc: 5.2088 5.2088 5.2088
angles: 60.00 60.00 60.00
Last column: nearest neighbours and their distance in Å.
Fractional positions:
1 Ce 0.0000 0.0000 0.0000  4 Cd 3.19, 4 Zn 3.19
2 Tm 0.5000 0.5000 0.5000  4 Cd 3.19, 4 Zn 3.19
3 Zn 0.7500 0.7500 0.7500  4 Ce 3.19, 4 Tm 3.19
4 Cd 0.2500 0.2500 0.2500  4 Ce 3.19, 4 Tm 3.19

No. 2
This record from Alexandria describes a geometry-optimized Li2DyAu structure. The functional is GGA-PBE.

Values from the calculation:
N(E_F), states/eV/cell: 6.63
Crystal system: orthorhombic
Calculated formation energy, eV/f.u.: -1.610
Calculated total energy, eV per atom: -3.329
Magnetic moment, μB/f.u.: 0.00

abc: 5.4314 5.4314 8.2070
angles: 90.00 90.00 135.71
Last column: nearest neighbours and their distance in Å.
Fractional positions:
1 Li 0.1550 0.8450 0.5526  3 Au 2.73, 2 Li 2.93
2 Li 0.1550 0.8450 0.9474  3 Au 2.73, 2 Li 2.93
3 Li 0.8450 0.1550 0.0526  3 Au 2.73, 2 Li 2.93
4 Li 0.8450 0.1550 0.4474  3 Au 2.73, 2 Li 2.93
5 Dy 0.4421 0.5579 0.7500  3 Au 2.92-2.94
6 Dy 0.5579 0.4421 0.2500  3 Au 2.92-2.94
7 Au 0.2673 0.7327 0.2500  6 Li 2.73, 3 Dy 2.92-2.94
8 Au 0.7327 0.2673 0.7500  6 Li 2.73, 3 Dy 2.92-2.94

No. 3
This record from Alexandria describes a geometry-optimized CrCdIn2 structure. The functional is GGA-PBE.

Values from the calculation:
N(E_F), states/eV/cell: 2.42
Crystal system: tetragonal
Calculated formation energy, eV/f.u.: 1.062
Calculated total energy, eV per atom: -3.738
Magnetic moment, μB/f.u.: 3.91

abc: 3.1488 3.1488 8.7688
angles: 90.00 90.00 90.00
Last column: nearest neighbours and their distance in Å.
Fractional positions:
1 Cr 0.0000 0.0000 0.0000  8 In 2.96, 4 Cr 3.15
2 Cd 0.0000 0.0000 0.5000  4 Cd 3.15, 8 In 3.29
3 In 0.5000 0.5000 0.2231  4 Cr 2.96, 4 In 3.15, 4 Cd 3.29
4 In 0.5000 0.5000 0.7769  4 Cr 2.96, 4 In 3.15, 4 Cd 3.29

No. 4
This record from Alexandria describes a geometry-optimized Re2WBr structure. The functional is GGA-PBE.

Values from the calculation:
N(E_F), states/eV/cell: 3.86
Crystal system: orthorhombic
Calculated total energy, eV per atom: -8.995
Formation energy from raw total energies, eV/atom: 0.89
Magnetic moment, μB/f.u.: 0.00

abc: 2.8258 2.8258 9.4237
angles: 90.00 90.00 116.07
Last column: nearest neighbours and their distance in Å.
Fractional positions:
1 Re 0.0000 0.0000 0.0000  6 Re 2.61-2.83
2 Re 0.5000 0.5000 0.2276  6 Re 2.61-2.83, 2 W 2.68
3 W 0.0000 0.0000 0.4632  2 Re 2.68, 2 Br 2.83, 6 W 2.83-2.99
4 Br 0.5000 0.5000 0.7175  2 W 2.83, 6 Br 2.83-2.99, 2 Re 3.05